BeZn2Pt after structural relaxation, computed with PBEsol.

Summary:
- SG: Pmmm (47)
- Formation enthalpy at 0 K: -222 meV/atom
- Total energy: -15.014 eV for the cell shown
- DOS(E_F): 1.04 states/eV per cell
- Total moment: 0.0 μB/cell

Lattice parameters (Å, degrees): 2.823 3.528 5.130 90.00 90.00 90.00
Element x y z (fractional)
Be 0.000 0.000 0.000
Zn 0.500 0.500 0.238
Zn 0.500 0.500 0.762
Pt 0.000 0.000 0.500

LiSc2Ta after structural relaxation, computed with PBEsol.

Summary:
- SG: Cm (8)
- Formation enthalpy at 0 K: 250 meV/atom
- Total energy: -53.455 eV for the cell shown
- DOS(E_F): 8.42 states/eV per cell
- Distance to the lowest polymorph of the same formula: 0.075 eV per atom
- Total moment: 0.0 μB/cell

Lattice parameters (Å, degrees): 10.518 3.043 5.125 90.00 108.09 90.00
Element x y z (fractional)
Li 0.000 0.000 0.000
Li 0.500 0.500 0.000
Sc 0.031 0.500 0.520
Sc 0.245 0.500 0.154
Sc 0.531 0.000 0.520
Sc 0.745 0.000 0.154
Ta 0.282 0.000 0.667
Ta 0.782 0.500 0.667

ZrScCo2 after structural relaxation, computed with PBEsol.

Summary:
- SG: Amm2 (38)
- Formation enthalpy at 0 K: -299 meV/atom
- Total energy: -64.730 eV for the cell shown
- DOS(E_F): 5.27 states/eV per cell
- Total moment: 0.0 μB/cell

Lattice parameters (Å, degrees): 3.524 3.606 9.843 90.00 90.00 90.00
Element x y z (fractional)
Zr 0.000 0.000 0.000
Zr 0.000 0.500 0.500
Sc 0.500 0.000 0.293
Sc 0.500 0.500 0.793
Co 0.000 0.000 0.725
Co 0.000 0.500 0.225
Co 0.500 0.000 0.572
Co 0.500 0.500 0.072

PPt2Cl after structural relaxation, computed with PBEsol.

Summary:
- SG: I-42d (122)
- Total energy: -88.250 eV for the cell shown
- DOS(E_F): 2.98 states/eV per cell
- Distance to the lowest polymorph of the same formula: 0.000 eV per atom
- Total moment: 0.0 μB/cell
- Formation energy from raw total energies: -0.084 eV per atom

Lattice parameters (Å, degrees): 6.178 6.178 7.797 90.00 90.00 90.00
Element x y z (fractional)
P 0.000 0.000 0.000
P 0.000 0.500 0.250
P 0.500 0.000 0.750
P 0.500 0.500 0.500
Pt 0.203 0.750 0.125
Pt 0.250 0.203 0.875
Pt 0.250 0.297 0.375
Pt 0.297 0.750 0.625
Pt 0.703 0.250 0.625
Pt 0.750 0.703 0.375
Pt 0.750 0.797 0.875
Pt 0.797 0.250 0.125
Cl 0.000 0.000 0.500
Cl 0.000 0.500 0.750
Cl 0.500 0.000 0.250
Cl 0.500 0.500 0.000

AlIrAu4 after structural relaxation, computed with PBEsol.

Summary:
- SG: F-43m (216)
- Formation enthalpy at 0 K: 465 meV/atom
- Total energy: -26.821 eV for the cell shown
- DOS(E_F): 4.39 states/eV per cell
- Total moment: 0.0 μB/cell

Lattice parameters (Å, degrees): 5.286 5.286 5.286 60.00 60.00 60.00
Element x y z (fractional)
Al 0.000 0.000 0.000
Ir 0.250 0.250 0.250
Au 0.125 0.625 0.625
Au 0.625 0.125 0.625
Au 0.625 0.625 0.125
Au 0.625 0.625 0.625

InAuBr2 after structural relaxation, computed with PBEsol.

Summary:
- SG: P4/mmm (123)
- Total energy: -10.919 eV for the cell shown
- DOS(E_F): 1.07 states/eV per cell
- Distance to the lowest polymorph of the same formula: 0.022 eV per atom
- Total moment: 0.0 μB/cell
- Formation energy from raw total energies: -0.068 eV per atom

Lattice parameters (Å, degrees): 4.226 4.226 5.919 90.00 90.00 90.00
Element x y z (fractional)
In 0.000 0.000 0.000
Au 0.500 0.500 0.500
Br 0.000 0.000 0.500
Br 0.500 0.500 0.000

CoReNi2 after structural relaxation, computed with PBEsol.

Summary:
- SG: Pmm2 (25)
- Formation enthalpy at 0 K: 41 meV/atom
- Total energy: -33.220 eV for the cell shown
- DOS(E_F): 4.60 states/eV per cell
- Distance to the lowest polymorph of the same formula: 0.063 eV per atom
- Total moment: 1.7 μB/cell

Lattice parameters (Å, degrees): 2.539 4.081 4.420 90.00 90.00 90.00
Element x y z (fractional)
Co 0.000 0.000 0.000
Re 0.000 0.500 0.319
Ni 0.500 0.000 0.509
Ni 0.500 0.500 0.821

Ca3TcGe after structural relaxation, computed with PBEsol.

Summary:
- SG: Pm-3m (221)
- Formation enthalpy at 0 K: 656 meV/atom
- Total energy: -19.324 eV for the cell shown
- DOS(E_F): 7.56 states/eV per cell
- Total moment: 0.2 μB/cell

Lattice parameters (Å, degrees): 5.203 5.203 5.203 90.00 90.00 90.00
Element x y z (fractional)
Ca 0.000 0.000 0.500
Ca 0.000 0.500 0.000
Ca 0.500 0.000 0.000
Tc 0.000 0.000 0.000
Ge 0.500 0.500 0.500

YBN3 after structural relaxation, computed with PBEsol.

Summary:
- SG: Pm-3m (221)
- Total energy: -39.386 eV for the cell shown
- DOS(E_F): 2.75 states/eV per cell
- Total moment: 0.0 μB/cell
- Formation energy from raw total energies: 0.007 eV per atom

Lattice parameters (Å, degrees): 3.495 3.495 3.495 90.00 90.00 90.00
Element x y z (fractional)
Y 0.000 0.000 0.000
B 0.500 0.500 0.500
N 0.000 0.500 0.500
N 0.500 0.000 0.500
N 0.500 0.500 0.000

SrPb3O after structural relaxation, computed with PBEsol.

Summary:
- SG: Pm-3m (221)
- Total energy: -12.579 eV for the cell shown
- DOS(E_F): 5.21 states/eV per cell
- Total moment: 3.2 μB/cell
- Formation energy from raw total energies: 1.301 eV per atom

Lattice parameters (Å, degrees): 6.063 6.063 6.063 90.00 90.00 90.00
Element x y z (fractional)
Sr 0.000 0.000 0.000
Pb 0.000 0.000 0.500
Pb 0.000 0.500 0.000
Pb 0.500 0.000 0.000
O 0.500 0.500 0.500

Mn2CdPb after structural relaxation, computed with PBEsol.

Summary:
- SG: C2/m (12)
- Formation enthalpy at 0 K: 575 meV/atom
- Total energy: -44.839 eV for the cell shown
- DOS(E_F): 6.34 states/eV per cell
- Total moment: 14.5 μB/cell

Lattice parameters (Å, degrees): 9.135 3.098 5.452 90.00 101.26 90.00
Element x y z (fractional)
Mn 0.249 0.000 0.221
Mn 0.251 0.500 0.779
Mn 0.749 0.500 0.221
Mn 0.751 0.000 0.779
Cd 0.000 0.500 0.000
Cd 0.500 0.000 0.000
Pb 0.000 0.000 0.500
Pb 0.500 0.500 0.500

KLaY3 after structural relaxation, computed with PBEsol.

Summary:
- SG: Pm-3m (221)
- Formation enthalpy at 0 K: 718 meV/atom
- Total energy: -23.356 eV for the cell shown
- DOS(E_F): 6.20 states/eV per cell
- Total moment: 0.0 μB/cell

Lattice parameters (Å, degrees): 5.782 5.782 5.782 90.00 90.00 90.00
Element x y z (fractional)
K 0.000 0.000 0.000
La 0.500 0.500 0.500
Y 0.000 0.500 0.500
Y 0.500 0.000 0.500
Y 0.500 0.500 0.000